{"formula": "MnCd2Te", "functional": "PBE", "state": "optimized geometry", "energy_ev_per_atom": -3.382, "volume_a3_per_cell": 95, "m_tot_mub_per_cell": 4.06, "spacegroup": "Pm, No. 6", "cell": [[-1.7570, -0.9434, 3.3362], [2.3421, -1.9235, 0.6896], [3.7539, 5.8946, 3.6438]], "species": ["Cd", "Cd", "Mn", "Te"], "frac_coords": [[0.0000, 0.7497, 0.0407], [0.5000, 0.2502, 0.2763], [0.0000, 0.7512, 0.4674], [0.5000, 0.7489, 0.7155]]}

***

{"formula": "Sr5InSi2", "functional": "PBE", "state": "optimized geometry", "energy_ev_per_atom": -3.149, "volume_a3_per_cell": 558, "m_tot_mub_per_cell": 0.00, "spacegroup": "I4/mcm, No. 140", "cell": [[7.4733, 0.0000, -3.5278], [-1.6653, 7.2853, -3.5278], [0.1722, 0.2160, 10.0444]], "species": ["Sr", "Sr", "Sr", "Sr", "Sr", "Sr", "Sr", "Sr", "Sr", "Sr", "In", "In", "Si", "Si", "Si", "Si"], "frac_coords": [[0.5417, 0.6870, 0.7287], [0.8130, 0.9583, 0.2713], [0.0000, 0.0000, 0.0000], [0.5000, 0.5000, 0.0000], [0.1870, 0.0417, 0.7287], [0.6870, 0.1870, 0.7287], [0.0417, 0.5417, 0.7287], [0.3130, 0.8130, 0.2713], [0.9583, 0.4583, 0.2713], [0.4583, 0.3130, 0.2713], [0.7500, 0.7500, 0.5000], [0.2500, 0.2500, 0.5000], [0.1059, 0.3941, 0.0000], [0.6059, 0.1059, 0.0000], [0.3941, 0.8941, 0.0000], [0.8941, 0.6059, 0.0000]]}

***

{"formula": "SrBiAs2Se", "functional": "PBE", "state": "optimized geometry", "energy_ev_per_atom": -2.987, "volume_a3_per_cell": 175, "de_polymorph_ev_per_atom": 0.679, "m_tot_mub_per_cell": 0.00, "spacegroup": "P4/mmm, No. 123", "cell": [[-4.9763, 0.0159, -2.5717], [-2.5693, -0.2772, 4.9699], [-0.1124, 5.5546, 0.2517]], "species": ["Sr", "As", "As", "Bi", "Se"], "frac_coords": [[0.0000, 0.0000, 0.0000], [0.0000, 0.5000, 0.0000], [0.5000, 0.0000, 0.0000], [0.5000, 0.5000, 0.5000], [0.0000, 0.0000, 0.5000]]}

***

{"formula": "LiMg2Tl7", "functional": "PBE", "state": "optimized geometry", "energy_ev_per_atom": -2.141, "volume_a3_per_cell": 284, "formation_enthalpy_0k_kcal_per_mol_atoms": 0.59, "m_tot_mub_per_cell": 0.00, "spacegroup": "P3m1, No. 156", "cell": [[5.0119, 0.0000, 0.0000], [-2.5059, 4.3404, 0.0000], [0.0000, 0.0000, 13.0779]], "species": ["Li", "Mg", "Mg", "Tl", "Tl", "Tl", "Tl", "Tl", "Tl", "Tl"], "frac_coords": [[0.0000, 0.0000, 0.0017], [0.3333, 0.6667, 0.6810], [0.6667, 0.3333, 0.3508], [0.6667, 0.3333, 0.5824], [0.6667, 0.3333, 0.8608], [0.0000, 0.0000, 0.7459], [0.0000, 0.0000, 0.2513], [0.3333, 0.6667, 0.4332], [0.3333, 0.6667, 0.9893], [0.6667, 0.3333, 0.1203]]}